[1]
Crystalline K3Pm2SnTe6 at its relaxed geometry. Source: Alexandria, functional PBE.

The crystal system is monoclinic.

The structure belongs to space group C2/m (No. 12); the cell edges are 7.934, 13.742 and 8.660 Å and the angles 90.00°, 107.79° and 90.00°. Symmetry generates all atoms from K at (0.000, 0.000, 0.000), K at (0.000, 0.333, 0.000), Pm at (0.000, 0.167, 0.500), Sn at (0.000, 0.500, 0.500), Te at (0.234, 0.336, 0.710) and Te at (0.242, 0.000, 0.710).

[2]
Crystalline KPm2Sn3Te6 at its relaxed geometry. Source: Alexandria, functional PBE.

The crystal system is monoclinic.

The structure belongs to space group C2/m (No. 12); the cell edges are 20.029, 4.476 and 9.398 Å and the angles 90.00°, 104.34° and 90.00°. Symmetry generates all atoms from K at (0.000, 0.000, 0.000), Pm at (0.169, 0.500, 0.348), Sn at (0.000, 0.000, 0.500), Sn at (0.157, 0.500, 0.848), Te at (0.008, 0.500, 0.271), Te at (0.167, 0.000, 0.592) and Te at (0.180, 0.000, 0.105).

Across the entries above, formation energy from raw total energies takes the values -1.109, -0.765 eV per atom, respectively.
Across the entries above, density of states at the Fermi level takes the values 9.0, 7.3 states/eV/cell, respectively.
Across the entries above, magnetic moment takes the values 0.00, 0.00 μB/cell, respectively.